1.
{
  "formula": "CePmPa4",
  "functional": "PBE-GGA",
  "state": "optimized geometry",
  "lattice_angstrom": [[6.125, 0.000, 0.000], [3.062, 5.304, 0.000], [3.062, 1.768, 5.001]],
  "species": ["Pa", "Pa", "Pa", "Pa", "Ce", "Pm"],
  "fractional_positions": [[0.625, 0.625, 0.124], [0.625, 0.124, 0.625], [0.625, 0.625, 0.625], [0.124, 0.625, 0.625], [0.250, 0.250, 0.250], [0.000, 0.000, 0.000]],
  "e_form_ev_per_fu": 1.3
}

---

2.
{
  "formula": "Ag2AuSe",
  "functional": "PBE-GGA",
  "state": "optimized geometry",
  "lattice_angstrom": [[-0.422, 1.596, 3.729], [1.139, -3.552, 1.649], [9.649, 1.914, 2.503]],
  "species": ["Au", "Au", "Se", "Se", "Ag", "Ag", "Ag", "Ag"],
  "fractional_positions": [[0.000, 0.000, 0.000], [0.750, 0.250, 0.500], [0.500, 0.500, 0.000], [0.250, 0.750, 0.500], [0.623, 0.125, 0.250], [0.127, 0.625, 0.250], [0.375, 0.377, 0.750], [0.875, 0.873, 0.750]],
  "raw_formation_energy_ev_per_atom": 0.17
}

---

3.
{
  "formula": "NiTeRh2",
  "functional": "PBE-GGA",
  "state": "optimized geometry",
  "lattice_angstrom": [[4.494, 0.000, 0.000], [0.000, 3.032, 0.001], [0.000, 0.164, 4.621]],
  "species": ["Ni", "Rh", "Rh", "Te"],
  "fractional_positions": [[0.500, 0.750, 0.750], [0.000, 0.998, 0.991], [0.000, 0.502, 0.509], [0.500, 0.250, 0.250]],
  "raw_formation_energy_ev_per_atom": 0.18
}

---

4.
{
  "formula": "AsP2O8",
  "functional": "PBE-GGA",
  "state": "optimized geometry",
  "lattice_angstrom": [[4.454, -0.555, 0.713], [-0.364, 6.220, 3.387], [-1.394, 2.118, 6.623]],
  "species": ["As", "P", "P", "O", "O", "O", "O", "O", "O", "O", "O"],
  "fractional_positions": [[0.000, 0.000, 0.000], [0.436, 0.134, 0.134], [0.564, 0.866, 0.866], [0.748, 0.149, 0.704], [0.252, 0.296, 0.851], [0.765, 0.112, 0.112], [0.235, 0.888, 0.888], [0.748, 0.704, 0.149], [0.252, 0.851, 0.296], [0.415, 0.248, 0.248], [0.585, 0.752, 0.752]],
  "raw_formation_energy_ev_per_atom": -1.44
}

---

5.
{
  "formula": "Na2Tl3Zn",
  "functional": "PBE-GGA",
  "state": "optimized geometry",
  "lattice_angstrom": [[-4.300, -2.903, 0.770], [2.182, -8.070, -0.381], [1.335, 0.007, 7.491]],
  "species": ["Na", "Na", "Na", "Na", "Tl", "Tl", "Tl", "Tl", "Tl", "Tl", "Zn", "Zn"],
  "fractional_positions": [[0.000, 0.000, 0.000], [0.000, 0.000, 0.500], [0.336, 0.328, 0.500], [0.664, 0.672, 0.500], [0.824, 0.352, 0.776], [0.500, 0.000, 0.236], [0.176, 0.648, 0.224], [0.824, 0.352, 0.224], [0.176, 0.648, 0.776], [0.500, 0.000, 0.764], [0.344, 0.312, 0.000], [0.656, 0.688, 0.000]],
  "e_form_ev_per_fu": -0.2
}

---

6.
{
  "formula": "Ta2Mn2Zn",
  "functional": "PBE-GGA",
  "state": "optimized geometry",
  "lattice_angstrom": [[6.870, 0.000, 0.000], [0.000, 6.870, 0.000], [0.000, 0.000, 3.229]],
  "species": ["Zn", "Zn", "Mn", "Mn", "Mn", "Mn", "Ta", "Ta", "Ta", "Ta"],
  "fractional_positions": [[0.000, 0.000, 0.000], [0.500, 0.500, 0.000], [0.374, 0.874, 0.000], [0.874, 0.626, 0.000], [0.626, 0.126, 0.000], [0.126, 0.374, 0.000], [0.175, 0.675, 0.500], [0.675, 0.825, 0.500], [0.825, 0.325, 0.500], [0.325, 0.175, 0.500]],
  "polymorph_energy_mev_per_atom": 0,
  "e_form_ev_per_fu": 0.6
}

---

7.
{
  "formula": "ReNi3Pd",
  "functional": "PBE-GGA",
  "state": "optimized geometry",
  "lattice_angstrom": [[-0.908, 0.223, 2.457], [8.010, -0.859, 1.638], [0.737, 6.302, -0.301]],
  "species": ["Re", "Re", "Ni", "Ni", "Ni", "Ni", "Ni", "Ni", "Pd", "Pd"],
  "fractional_positions": [[0.253, 0.506, 0.250], [0.747, 0.494, 0.750], [0.643, 0.285, 0.441], [0.357, 0.715, 0.559], [0.357, 0.715, 0.941], [0.643, 0.285, 0.059], [0.882, 0.765, 0.250], [0.118, 0.235, 0.750], [0.000, 0.000, 0.000], [0.000, 0.000, 0.500]],
  "polymorph_energy_mev_per_atom": 0,
  "e_form_ev_per_fu": 1.4
}

---

8.
{
  "formula": "Ac3GaAg2Ge6",
  "functional": "PBE-GGA",
  "state": "optimized geometry",
  "lattice_angstrom": [[6.195, 0.000, 0.000], [-3.097, 5.365, 0.000], [0.000, 0.000, 9.117]],
  "species": ["Ac", "Ac", "Ac", "Ga", "Ag", "Ag", "Ge", "Ge", "Ge", "Ge", "Ge", "Ge"],
  "fractional_positions": [[0.333, 0.667, 0.617], [0.667, 0.333, 0.383], [0.000, 0.000, 0.000], [0.000, 0.000, 0.500], [0.667, 0.333, 0.989], [0.333, 0.667, 0.011], [0.617, 0.808, 0.279], [0.192, 0.383, 0.279], [0.192, 0.808, 0.279], [0.808, 0.617, 0.721], [0.383, 0.192, 0.721], [0.808, 0.192, 0.721]],
  "e_form_ev_per_fu": -3.5
}

---

Results for spin magnetization: 0.0, 0.0, 0.0, 1.0, 0.0, 3.4, 0.0, 0.0 (in μB/f.u., following the order of the records).